TbNi3C3 after structural relaxation, computed with PBE-GGA.

CIF file:
```
data_TbNi3C3
_space_group_name_H-M_alt 'P 63/m m c'
_space_group_IT_number 194
_space_group_name_Hall '-P 6c 2c'
_cell_length_a 3.3940
_cell_length_b 3.3940
_cell_length_c 15.7977
_cell_angle_alpha 90.00
_cell_angle_beta 90.00
_cell_angle_gamma 120.00
loop_
_atom_site_label
_atom_site_type_symbol
_atom_site_fract_x
_atom_site_fract_y
_atom_site_fract_z
Tb1 Tb 0.0000 0.0000 0.0000
Ni1 Ni 0.3333 0.6667 0.1369
Ni2 Ni 0.3333 0.6667 0.7500
C1 C 0.3333 0.6667 0.2500
C2 C 0.3333 0.6667 0.6061
```

Properties
Calculated density = 7.82 g/cm3
VASP energy = -6.71 eV per atom
Total moment = 0.0004 μB per atom